# ZrCoSbIr

A relaxed structure of ZrCoSbIr (PBE, OQMD via LeMat-Bulk).

**E above lowest polymorph**: 0 kJ/mol of formula units
**Total energy**: -7.454 eV/atom

The structure in CIF format:
```
data_ZrCoSbIr
_cell_length_a 6.488
_cell_length_b 6.488
_cell_length_c 6.488
_cell_angle_alpha 90.00
_cell_angle_beta 90.00
_cell_angle_gamma 90.00
_space_group_name_H-M_alt 'F -4 3 m'
_space_group_IT_number 216
_space_group_name_Hall 'F -4 2 3'
loop_
_atom_site_label
_atom_site_type_symbol
_atom_site_fract_x
_atom_site_fract_y
_atom_site_fract_z
Zr1 Zr 0.000 0.000 0.000
Co1 Co 0.250 0.250 0.750
Sb1 Sb 0.000 0.000 0.500
Ir1 Ir 0.250 0.250 0.250
```

# Sc2CoIr

A relaxed structure of Sc2CoIr (PBE, OQMD via LeMat-Bulk).

**Energy relative to the elements**: -0.72 eV per atom
**E above lowest polymorph**: 0 kJ/mol of formula units
**Total energy**: -7.879 eV/atom

The structure in CIF format:
```
data_Sc2CoIr
_cell_length_a 6.362
_cell_length_b 6.362
_cell_length_c 6.362
_cell_angle_alpha 90.00
_cell_angle_beta 90.00
_cell_angle_gamma 90.00
_space_group_name_H-M_alt 'F m -3 m'
_space_group_IT_number 225
_space_group_name_Hall '-F 4 2 3'
loop_
_atom_site_label
_atom_site_type_symbol
_atom_site_fract_x
_atom_site_fract_y
_atom_site_fract_z
Sc1 Sc 0.250 0.250 0.250
Co1 Co 0.000 0.000 0.000
Ir1 Ir 0.000 0.000 0.500
```